The following is a DFT calculation (PBE) of a relaxed Tb4Pm2DyTh crystal.

Output
SG: P4/mmm
Energy, eV/cell: -39.02

abc: 5.950 5.953 9.474
angles: 51.07 90.00 90.00
Atoms (fractional coordinates):
Tb 0.000 0.749 0.751
Tb 0.000 0.251 0.249
Tb 0.500 0.750 0.249
Tb 0.500 0.250 0.751
Pm 0.000 0.000 0.000
Pm 0.500 0.000 0.500
Dy 0.000 0.500 0.500
Th 0.500 0.500 0.000